Model A:
# TlCrCu2 PBE relaxed
# Density in kg/m³: 10109
data_TlCrCu2
_chemical_formula_sum 'Tl4 Cr4 Cu8'
_cell_length_a 5.926
_cell_length_b 6.012
_cell_length_c 7.073
_cell_angle_alpha 90.00
_cell_angle_beta 90.00
_cell_angle_gamma 90.00
_symmetry_space_group_name_H-M 'F m m m'
_symmetry_Int_Tables_number 69
_symmetry_space_group_name_Hall '-F 2 2'
loop_
_atom_site_label
_atom_site_type_symbol
_atom_site_fract_x
_atom_site_fract_y
_atom_site_fract_z
Tl1 Tl 0.000 0.000 0.000
Cr1 Cr 0.000 0.000 0.500
Cu1 Cu 0.250 0.250 0.250

Model B:
# TlCrCu2 PBE relaxed
# Density in kg/m³: 9250
data_TlCrCu2
_chemical_formula_sum 'Tl3 Cr3 Cu6'
_cell_length_a 3.1291
_cell_length_b 3.1291
_cell_length_c 24.3546
_cell_angle_alpha 90.00
_cell_angle_beta 90.00
_cell_angle_gamma 120.00
_symmetry_space_group_name_H-M 'R 3 m'
_symmetry_Int_Tables_number 160
_symmetry_space_group_name_Hall 'R 3 -2"'
loop_
_atom_site_label
_atom_site_type_symbol
_atom_site_fract_x
_atom_site_fract_y
_atom_site_fract_z
Tl1 Tl 0.0000 0.0000 0.0000
Cr1 Cr 0.0000 0.0000 0.2369
Cu1 Cu 0.0000 0.0000 0.4940
Cu2 Cu 0.0000 0.0000 0.7566

Model C:
# TlCrCu2 PBE relaxed
# Density in kg/m³: 9994
data_TlCrCu2
_chemical_formula_sum 'Tl1 Cr1 Cu2'
_cell_length_a 4.059
_cell_length_b 4.059
_cell_length_c 3.868
_cell_angle_alpha 90.00
_cell_angle_beta 90.00
_cell_angle_gamma 90.00
_symmetry_space_group_name_H-M 'P 4/m m m'
_symmetry_Int_Tables_number 123
_symmetry_space_group_name_Hall '-P 4 2'
loop_
_atom_site_label
_atom_site_type_symbol
_atom_site_fract_x
_atom_site_fract_y
_atom_site_fract_z
Tl1 Tl 0.000 0.000 0.000
Cr1 Cr 0.500 0.500 0.000
Cu1 Cu 0.000 0.500 0.500

The most stable arrangement is model A, and the next structure is 7 meV/atom less stable.

Model A:
# TlCrCu2 PBE relaxed
# Density in kg/m³: 10119
data_TlCrCu2
_chemical_formula_sum 'Tl4 Cr4 Cu8'
_cell_length_a 6.314
_cell_length_b 6.314
_cell_length_c 6.314
_cell_angle_alpha 90.00
_cell_angle_beta 90.00
_cell_angle_gamma 90.00
_symmetry_space_group_name_H-M 'F m -3 m'
_symmetry_Int_Tables_number 225
_symmetry_space_group_name_Hall '-F 4 2 3'
loop_
_atom_site_label
_atom_site_type_symbol
_atom_site_fract_x
_atom_site_fract_y
_atom_site_fract_z
Tl1 Tl 0.000 0.000 0.000
Cr1 Cr 0.000 0.000 0.500
Cu1 Cu 0.250 0.250 0.250

Model B:
# TlCrCu2 PBE relaxed
# Density in kg/m³: 9008
data_TlCrCu2
_chemical_formula_sum 'Tl4 Cr4 Cu8'
_cell_length_a 7.223
_cell_length_b 7.223
_cell_length_c 5.420
_cell_angle_alpha 90.00
_cell_angle_beta 90.00
_cell_angle_gamma 90.00
_symmetry_space_group_name_H-M 'I -4 2 d'
_symmetry_Int_Tables_number 122
_symmetry_space_group_name_Hall 'I -4 2bw'
loop_
_atom_site_label
_atom_site_type_symbol
_atom_site_fract_x
_atom_site_fract_y
_atom_site_fract_z
Tl1 Tl 0.000 0.000 0.000
Cr1 Cr 0.000 0.000 0.500
Cu1 Cu 0.234 0.250 0.625

The most stable arrangement is model A, and the next structure is 249 meV/atom less stable.

Model A:
# VCr3Cu PBE relaxed
# Density in kg/m³: 6060
data_VCr3Cu
_chemical_formula_sum 'V1 Cr3 Cu1'
_cell_length_a 4.200
_cell_length_b 4.200
_cell_length_c 4.200
_cell_angle_alpha 90.00
_cell_angle_beta 90.00
_cell_angle_gamma 90.00
_symmetry_space_group_name_H-M 'P m -3 m'
_symmetry_Int_Tables_number 221
_symmetry_space_group_name_Hall '-P 4 2 3'
loop_
_atom_site_label
_atom_site_type_symbol
_atom_site_fract_x
_atom_site_fract_y
_atom_site_fract_z
V1 V 0.000 0.000 0.000
Cr1 Cr 0.000 0.000 0.500
Cu1 Cu 0.500 0.500 0.500

Model B:
# VCr3Cu PBE relaxed
# Density in kg/m³: 4883
data_VCr3Cu
_chemical_formula_sum 'V1 Cr3 Cu1'
_cell_length_a 4.514
_cell_length_b 4.514
_cell_length_c 4.514
_cell_angle_alpha 90.00
_cell_angle_beta 90.00
_cell_angle_gamma 90.00
_symmetry_space_group_name_H-M 'P m -3 m'
_symmetry_Int_Tables_number 221
_symmetry_space_group_name_Hall '-P 4 2 3'
loop_
_atom_site_label
_atom_site_type_symbol
_atom_site_fract_x
_atom_site_fract_y
_atom_site_fract_z
V1 V 0.000 0.000 0.000
Cr1 Cr 0.000 0.500 0.500
Cu1 Cu 0.500 0.500 0.500

The most stable arrangement is model A, and the next structure is 19 meV/atom less stable.

Model A:
# CrCuW2 PBE relaxed
# Density in kg/m³: 14090
data_CrCuW2
_chemical_formula_sum 'Cr2 Cu2 W4'
_cell_length_a 3.105
_cell_length_b 4.297
_cell_length_c 8.535
_cell_angle_alpha 90.00
_cell_angle_beta 90.00
_cell_angle_gamma 90.00
_symmetry_space_group_name_H-M 'C m m m'
_symmetry_Int_Tables_number 65
_symmetry_space_group_name_Hall '-C 2 2'
loop_
_atom_site_label
_atom_site_type_symbol
_atom_site_fract_x
_atom_site_fract_y
_atom_site_fract_z
Cr1 Cr 0.000 0.000 0.000
Cu1 Cu 0.000 0.000 0.500
W1 W 0.000 0.500 0.245

Model B:
# CrCuW2 PBE relaxed
# Density in kg/m³: 13969
data_CrCuW2
_chemical_formula_sum 'Cr1 Cu1 W2'
_cell_length_a 2.644
_cell_length_b 2.644
_cell_length_c 8.218
_cell_angle_alpha 90.00
_cell_angle_beta 90.00
_cell_angle_gamma 90.00
_symmetry_space_group_name_H-M 'P 4/m m m'
_symmetry_Int_Tables_number 123
_symmetry_space_group_name_Hall '-P 4 2'
loop_
_atom_site_label
_atom_site_type_symbol
_atom_site_fract_x
_atom_site_fract_y
_atom_site_fract_z
Cr1 Cr 0.000 0.000 0.000
Cu1 Cu 0.000 0.000 0.500
W1 W 0.500 0.500 0.251

The most stable arrangement is model A, and the next structure is 161 meV/atom less stable.